1.
## ScV2Co (PBE)

Data for a relaxed structure of ScV2Co.

Summary:
- Energy above the most stable polymorph in this dataset: 0 meV/atom
- Energy of formation from the pure elements: 0.2622 eV/atom
- Total DFT energy (no corrections): -0.2814 hartree per atom

Cell: 4.292 4.292 4.292 Å, 60.00 60.00 60.00°
Positions (direct):
1 V 0.750 0.750 0.750
2 V 0.250 0.250 0.250
3 Sc 0.000 0.000 0.000
4 Co 0.500 0.500 0.500

***

2.
## ScV2Co2 (PBE)

Data for a relaxed structure of ScV2Co2.

Summary:
- Energy above the most stable polymorph in this dataset: 0 meV/atom
- Energy of formation from the pure elements: -0.1513 eV/atom
- Total DFT energy (no corrections): -0.2906 hartree per atom

Cell: 3.987 3.987 5.430 Å, 68.46 68.46 90.00°
Positions (direct):
1 V 0.250 0.750 0.500
2 V 0.750 0.250 0.500
3 Co 0.623 0.623 0.753
4 Co 0.377 0.377 0.247
5 Sc 0.000 0.000 0.000

***

3.
## ScVCo3 (PBE)

Data for a relaxed structure of ScVCo3.

Summary:
- Energy above the most stable polymorph in this dataset: 0 meV/atom
- Energy of formation from the pure elements: 0.4609 eV/atom
- Total DFT energy (no corrections): -0.2533 hartree per atom

Cell: 4.228 4.228 4.228 Å, 90.00 90.00 90.00°
Positions (direct):
1 Sc 0.500 0.500 0.500
2 Co 0.000 0.000 0.500
3 Co 0.000 0.500 0.000
4 Co 0.500 0.000 0.000
5 V 0.000 0.000 0.000